Ac6Co2OsCl3: relaxed, GGA-PBE.

Lattice parameters (Å, degrees): 4.239 9.363 10.259 110.70 101.92 90.00
Element x y z (fractional)
1 Ac 0.343 0.887 0.687
2 Ac 0.679 0.555 0.357
3 Ac 0.657 0.113 0.313
4 Ac 0.011 0.226 0.022
5 Ac 0.989 0.774 0.978
6 Ac 0.321 0.445 0.643
7 Co 0.830 0.661 0.661
8 Co 0.170 0.339 0.339
9 Os 0.500 0.000 0.000
10 Cl 0.500 0.500 0.000
11 Cl 0.834 0.165 0.668
12 Cl 0.166 0.835 0.332

Values from the calculation:
- DOS at the Fermi energy: 0.367 states/eV per atom
- Space group: C2/m
- Size of the total moment: 0.00 Bohr magnetons per cell
- ΔE_f (raw): -0.84 eV per atom